(1)
Entry from Alexandria: a relaxed Ac3CoP2N6 crystal (PBE-GGA).

Summary:
Its formation energy from raw total energies is -9.37 eV per formula unit. As for the raw total energy: -7.46 eV per atom. The symmetry is P-3m1.

a b c (Å): 5.5928 5.5928 6.6608
angles (deg): 90.00 90.00 120.00
Sites, in units of the cell vectors:
Ac  0.0000  0.0000  0.0000
Ac  0.3333  0.6667  0.6581
Ac  0.6667  0.3333  0.3419
Co  0.0000  0.0000  0.5000
P  0.3333  0.6667  0.2157
P  0.6667  0.3333  0.7843
N  0.1711  0.3422  0.3035
N  0.1711  0.8289  0.3035
N  0.3422  0.1711  0.6965
N  0.6578  0.8289  0.3035
N  0.8289  0.1711  0.6965
N  0.8289  0.6578  0.6965

***

(2)
Entry from Alexandria: a relaxed AcPa2CoN4 crystal (PBE-GGA).

Summary:
For the density of states at the Fermi level, the calculation gives 4.7 states/eV/cell. Its formation energy from raw total energies is -10.67 eV per formula unit. As for the raw total energy: -9.27 eV per atom. The symmetry is Cmcm.

a b c (Å): 6.1482 6.1482 11.5257
angles (deg): 90.00 90.00 146.59
Sites, in units of the cell vectors:
Ac  0.1021  0.8979  0.7500
Ac  0.8979  0.1021  0.2500
Pa  0.3670  0.6330  0.5609
Pa  0.3670  0.6330  0.9391
Pa  0.6330  0.3670  0.0609
Pa  0.6330  0.3670  0.4391
Co  0.1614  0.8386  0.2500
Co  0.8386  0.1614  0.7500
N  0.0000  0.0000  0.0000
N  0.0000  0.0000  0.5000
N  0.2653  0.7347  0.1095
N  0.2653  0.7347  0.3905
N  0.4347  0.5653  0.7500
N  0.5653  0.4347  0.2500
N  0.7347  0.2653  0.6095
N  0.7347  0.2653  0.8905

***

(3)
Entry from Alexandria: a relaxed Ac2PaCo2N6 crystal (PBE-GGA).

Summary:
For the density of states at the Fermi level, the calculation gives 6.7 states/eV/cell. Its formation energy from raw total energies is -7.15 eV per formula unit. As for the raw total energy: -8.09 eV per atom. The symmetry is R-3m.

a b c (Å): 6.7764 6.7764 6.7764
angles (deg): 50.49 50.49 50.49
Sites, in units of the cell vectors:
Ac  0.2161  0.2161  0.2161
Ac  0.7839  0.7839  0.7839
Pa  0.0000  0.0000  0.0000
Co  0.4057  0.4057  0.4057
Co  0.5943  0.5943  0.5943
N  0.2361  0.7494  0.7494
N  0.2506  0.2506  0.7639
N  0.2506  0.7639  0.2506
N  0.7494  0.2361  0.7494
N  0.7494  0.7494  0.2361
N  0.7639  0.2506  0.2506

***

(4)
Entry from Alexandria: a relaxed AcPaCoN4 crystal (PBE-GGA).

Summary:
For the density of states at the Fermi level, the calculation gives 8.1 states/eV/cell. Its formation energy from raw total energies is -5.36 eV per formula unit. As for the raw total energy: -8.48 eV per atom. The symmetry is Cmcm.

a b c (Å): 6.9555 6.9555 5.4459
angles (deg): 90.00 90.00 135.57
Sites, in units of the cell vectors:
Ac  0.1036  0.8964  0.7500
Ac  0.8964  0.1036  0.2500
Pa  0.3824  0.6176  0.7500
Pa  0.6176  0.3824  0.2500
Co  0.2381  0.7619  0.2500
Co  0.7619  0.2381  0.7500
N  0.0000  0.5000  0.0000
N  0.0000  0.5000  0.5000
N  0.0915  0.9085  0.2500
N  0.4533  0.5467  0.2500
N  0.5000  0.0000  0.0000
N  0.5000  0.0000  0.5000
N  0.5467  0.4533  0.7500
N  0.9085  0.0915  0.7500

***

(5)
Entry from Alexandria: a relaxed Ac5CoPd2N crystal (PBE-GGA).

Summary:
For the density of states at the Fermi level, the calculation gives 9.2 states/eV/cell. Its formation energy from raw total energies is -5.30 eV per formula unit. As for the raw total energy: -5.74 eV per atom. The symmetry is Cmc2_1.

a b c (Å): 9.5111 9.5111 13.3743
angles (deg): 90.00 90.00 154.05
Sites, in units of the cell vectors:
Ac  0.0040  0.9960  0.5000
Ac  0.1470  0.8530  0.7407
Ac  0.1855  0.8145  0.1125
Ac  0.2115  0.7885  0.4056
Ac  0.4588  0.5412  0.7461
Ac  0.5412  0.4588  0.2461
Ac  0.7885  0.2115  0.9056
Ac  0.8145  0.1855  0.6125
Ac  0.8530  0.1470  0.2407
Ac  0.9960  0.0040  0.0000
Co  0.2978  0.7022  0.7619
Co  0.7022  0.2978  0.2619
Pd  0.3717  0.6283  0.0534
Pd  0.3904  0.6096  0.4100
Pd  0.6096  0.3904  0.9100
Pd  0.6283  0.3717  0.5534
N  0.0522  0.9478  0.1564
N  0.9478  0.0522  0.6564

***

(6)
Entry from Alexandria: a relaxed Ac2PuCoN4 crystal (PBE-GGA).

Summary:
For the density of states at the Fermi level, the calculation gives 15.6 states/eV/cell. Its formation energy from raw total energies is -4.05 eV per formula unit. As for the raw total energy: -8.38 eV per atom. The symmetry is Fddd.

a b c (Å): 10.3474 8.8254 6.6696
angles (deg): 82.53 57.74 39.72
Sites, in units of the cell vectors:
Ac  0.0522  0.0522  0.6978
Ac  0.3022  0.3022  0.9478
Ac  0.6978  0.6978  0.0522
Ac  0.9478  0.9478  0.3022
Pu  0.3750  0.3750  0.3750
Pu  0.6250  0.6250  0.6250
Co  0.1250  0.1250  0.1250
Co  0.8750  0.8750  0.8750
N  0.0592  0.2725  0.4110
N  0.2427  0.5890  0.7275
N  0.2725  0.0592  0.7573
N  0.4110  0.7573  0.0592
N  0.5890  0.2427  0.9408
N  0.7275  0.9408  0.2427
N  0.7573  0.4110  0.2725
N  0.9408  0.7275  0.5890

***

(7)
Entry from Alexandria: a relaxed Ac2CoRe2N6 crystal (PBE-GGA).

Summary:
For the density of states at the Fermi level, the calculation gives 9.0 states/eV/cell. Its formation energy from raw total energies is -3.25 eV per formula unit. As for the raw total energy: -8.49 eV per atom. The symmetry is R-3m.

a b c (Å): 6.3204 6.3204 6.3204
angles (deg): 56.04 56.04 56.04
Sites, in units of the cell vectors:
Ac  0.2112  0.2112  0.2112
Ac  0.7888  0.7888  0.7888
Co  0.0000  0.0000  0.0000
Re  0.4230  0.4230  0.4230
Re  0.5770  0.5770  0.5770
N  0.2298  0.2298  0.7674
N  0.2298  0.7674  0.2298
N  0.2326  0.7702  0.7702
N  0.7674  0.2298  0.2298
N  0.7702  0.2326  0.7702
N  0.7702  0.7702  0.2326

***

(8)
Entry from Alexandria: a relaxed Ac2CoSiN crystal (PBE-GGA).

Summary:
For the density of states at the Fermi level, the calculation gives 8.4 states/eV/cell. Its formation energy from raw total energies is -3.42 eV per formula unit. As for the raw total energy: -6.50 eV per atom. The symmetry is P2_1/m.

a b c (Å): 6.5570 4.0649 8.9275
angles (deg): 90.00 109.91 90.00
Sites, in units of the cell vectors:
Ac  0.2121  0.2500  0.3901
Ac  0.2245  0.2500  0.9652
Ac  0.7755  0.7500  0.0348
Ac  0.7879  0.7500  0.6099
Co  0.4861  0.7500  0.2508
Co  0.5139  0.2500  0.7492
Si  0.3356  0.7500  0.7042
Si  0.6644  0.2500  0.2958
N  0.1844  0.7500  0.1735
N  0.8156  0.2500  0.8265

***

(9)
Entry from Alexandria: a relaxed AcCoSiN crystal (PBE-GGA).

Summary:
For the density of states at the Fermi level, the calculation gives 3.6 states/eV/cell. Its formation energy from raw total energies is -3.89 eV per formula unit. As for the raw total energy: -7.21 eV per atom. The symmetry is P4/nmm.

a b c (Å): 3.9461 3.9461 8.3758
angles (deg): 90.00 90.00 90.00
Sites, in units of the cell vectors:
Ac  0.2500  0.2500  0.1689
Ac  0.7500  0.7500  0.8311
Co  0.2500  0.7500  0.5000
Co  0.7500  0.2500  0.5000
Si  0.2500  0.2500  0.6396
Si  0.7500  0.7500  0.3604
N  0.2500  0.2500  0.8544
N  0.7500  0.7500  0.1456

***

(10)
Entry from Alexandria: a relaxed AcCo2SiN crystal (PBE-GGA).

Summary:
For the density of states at the Fermi level, the calculation gives 9.2 states/eV/cell. Its formation energy from raw total energies is -2.88 eV per formula unit. As for the raw total energy: -6.99 eV per atom. The symmetry is Cmcm.

a b c (Å): 5.8651 5.8651 6.9136
angles (deg): 90.00 90.00 141.02
Sites, in units of the cell vectors:
Ac  0.0530  0.9470  0.7500
Ac  0.9470  0.0530  0.2500
Co  0.3361  0.6639  0.5573
Co  0.3361  0.6639  0.9427
Co  0.6639  0.3361  0.0573
Co  0.6639  0.3361  0.4427
Si  0.2247  0.7753  0.2500
Si  0.7753  0.2247  0.7500
N  0.5000  0.5000  0.0000
N  0.5000  0.5000  0.5000

***

(11)
Entry from Alexandria: a relaxed Ac2CoTc2N6 crystal (PBE-GGA).

Summary:
For the density of states at the Fermi level, the calculation gives 8.2 states/eV/cell. Its formation energy from raw total energies is -2.97 eV per formula unit. As for the raw total energy: -8.09 eV per atom. The symmetry is R-3m.

a b c (Å): 6.2698 6.2698 6.2698
angles (deg): 56.17 56.17 56.17
Sites, in units of the cell vectors:
Ac  0.2142  0.2142  0.2142
Ac  0.7858  0.7858  0.7858
Co  0.0000  0.0000  0.0000
Tc  0.4239  0.4239  0.4239
Tc  0.5761  0.5761  0.5761
N  0.2300  0.2300  0.7681
N  0.2300  0.7681  0.2300
N  0.2319  0.7700  0.7700
N  0.7681  0.2300  0.2300
N  0.7700  0.2319  0.7700
N  0.7700  0.7700  0.2319

***

(12)
Entry from Alexandria: a relaxed AcTh2CoN4 crystal (PBE-GGA).

Summary:
For the density of states at the Fermi level, the calculation gives 5.8 states/eV/cell. Its formation energy from raw total energies is -9.39 eV per formula unit. As for the raw total energy: -8.59 eV per atom. The symmetry is Cmcm.

a b c (Å): 6.2894 6.2894 12.0026
angles (deg): 90.00 90.00 146.08
Sites, in units of the cell vectors:
Ac  0.0954  0.9046  0.7500
Ac  0.9046  0.0954  0.2500
Th  0.3672  0.6328  0.5588
Th  0.3672  0.6328  0.9412
Th  0.6328  0.3672  0.0588
Th  0.6328  0.3672  0.4412
Co  0.1693  0.8307  0.2500
Co  0.8307  0.1693  0.7500
N  0.0000  0.0000  0.0000
N  0.0000  0.0000  0.5000
N  0.2619  0.7381  0.1162
N  0.2619  0.7381  0.3838
N  0.4389  0.5611  0.7500
N  0.5611  0.4389  0.2500
N  0.7381  0.2619  0.6162
N  0.7381  0.2619  0.8838

***

(13)
Entry from Alexandria: a relaxed Ac6Tl2CoN crystal (PBE-GGA).

Summary:
For the density of states at the Fermi level, the calculation gives 9.2 states/eV/cell. Its formation energy from raw total energies is -3.68 eV per formula unit. As for the raw total energy: -4.85 eV per atom. The symmetry is P4/mmm.

a b c (Å): 5.4614 5.4614 11.0362
angles (deg): 90.00 90.00 90.00
Sites, in units of the cell vectors:
Ac  0.0000  0.0000  0.2383
Ac  0.0000  0.0000  0.7617
Ac  0.0000  0.5000  0.0000
Ac  0.0000  0.5000  0.5000
Ac  0.5000  0.0000  0.0000
Ac  0.5000  0.0000  0.5000
Tl  0.5000  0.5000  0.2346
Tl  0.5000  0.5000  0.7654
Co  0.0000  0.0000  0.5000
N  0.0000  0.0000  0.0000

***

(14)
Entry from Alexandria: a relaxed AcZr2CoN4 crystal (PBE-GGA).

Summary:
For the density of states at the Fermi level, the calculation gives 6.2 states/eV/cell. Its formation energy from raw total energies is -9.54 eV per formula unit. As for the raw total energy: -8.89 eV per atom. The symmetry is Cmcm.

a b c (Å): 5.9084 5.9084 11.2459
angles (deg): 90.00 90.00 147.02
Sites, in units of the cell vectors:
Ac  0.1001  0.8999  0.7500
Ac  0.8999  0.1001  0.2500
Zr  0.3661  0.6339  0.5529
Zr  0.3661  0.6339  0.9471
Zr  0.6339  0.3661  0.0529
Zr  0.6339  0.3661  0.4471
Co  0.1641  0.8359  0.2500
Co  0.8359  0.1641  0.7500
N  0.0000  0.0000  0.0000
N  0.0000  0.0000  0.5000
N  0.2642  0.7358  0.1107
N  0.2642  0.7358  0.3893
N  0.4272  0.5728  0.7500
N  0.5728  0.4272  0.2500
N  0.7358  0.2642  0.6107
N  0.7358  0.2642  0.8893

***

(15)
Entry from Alexandria: a relaxed NaAc6Co2 crystal (PBE-GGA).

Summary:
For the density of states at the Fermi level, the calculation gives 6.8 states/eV/cell. As for the raw total energy: -4.30 eV per atom. The calculation puts the formation energy at 1.51 eV per formula unit. The symmetry is I222.

a b c (Å): 13.6297 13.6297 13.6297
angles (deg): 163.57 148.57 35.67
Sites, in units of the cell vectors:
Na  0.0000  0.0000  0.0000
Ac  0.1353  0.9828  0.3655
Ac  0.2423  0.7423  0.5000
Ac  0.3827  0.0172  0.1525
Ac  0.6173  0.7698  0.6345
Ac  0.7577  0.2577  0.5000
Ac  0.8647  0.2302  0.8475
Co  0.3217  0.3217  0.0000
Co  0.6783  0.6783  0.0000

***

(16)
Entry from Alexandria: a relaxed NaAc8Co4 crystal (PBE-GGA).

Summary:
For the density of states at the Fermi level, the calculation gives 8.6 states/eV/cell. As for the raw total energy: -4.85 eV per atom. The calculation puts the formation energy at -0.38 eV per formula unit. The symmetry is I4/m.

a b c (Å): 10.5948 10.5948 10.5948
angles (deg): 92.35 92.35 156.64
Sites, in units of the cell vectors:
Na  0.0000  0.0000  0.0000
Ac  0.0420  0.3383  0.3803
Ac  0.3073  0.3499  0.6572
Ac  0.3383  0.9580  0.2964
Ac  0.3499  0.6927  0.0426
Ac  0.6501  0.3073  0.9574
Ac  0.6617  0.0420  0.7036
Ac  0.6927  0.6501  0.3428
Ac  0.9580  0.6617  0.6197
Co  0.1513  0.6718  0.8231
Co  0.3282  0.1513  0.4795
Co  0.6718  0.8487  0.5205
Co  0.8487  0.3282  0.1769

***

(17)
Entry from Alexandria: a relaxed NaAc8Co2 crystal (PBE-GGA).

Summary:
For the density of states at the Fermi level, the calculation gives 12.7 states/eV/cell. As for the raw total energy: -4.35 eV per atom. The calculation puts the formation energy at 0.60 eV per formula unit. The symmetry is C2/m.

a b c (Å): 9.0914 9.0914 6.8058
angles (deg): 97.08 97.08 49.42
Sites, in units of the cell vectors:
Na  0.0000  0.0000  0.0000
Ac  0.1082  0.6141  0.6144
Ac  0.2069  0.2069  0.9033
Ac  0.3859  0.8918  0.3856
Ac  0.4192  0.4192  0.1766
Ac  0.5808  0.5808  0.8234
Ac  0.6141  0.1082  0.6144
Ac  0.7931  0.7931  0.0967
Ac  0.8918  0.3859  0.3856
Co  0.2703  0.2703  0.3413
Co  0.7297  0.7297  0.6587

***

(18)
Entry from Alexandria: a relaxed NaAcCo crystal (PBE-GGA).

Summary:
For the density of states at the Fermi level, the calculation gives 10.6 states/eV/cell. As for the raw total energy: -4.16 eV per atom. The calculation puts the formation energy at 0.05 eV per formula unit. The symmetry is Cmcm.

a b c (Å): 4.1953 21.4723 4.1351
angles (deg): 90.00 90.00 90.00
Sites, in units of the cell vectors:
Na  0.0000  0.2051  0.2500
Na  0.0000  0.7949  0.7500
Na  0.5000  0.2949  0.7500
Na  0.5000  0.7051  0.2500
Ac  0.0000  0.4216  0.2500
Ac  0.0000  0.5784  0.7500
Ac  0.5000  0.0784  0.7500
Ac  0.5000  0.9216  0.2500
Co  0.0000  0.0207  0.2500
Co  0.0000  0.9793  0.7500
Co  0.5000  0.4793  0.7500
Co  0.5000  0.5207  0.2500